1.
Compound: KGe2Au2
Source: OQMD via LeMat-Bulk
Functional: PBE
Structure: relaxed

Computed properties:
Its space group is I4/mmm, No. 139. For the raw total energy, the calculation gives -3.561 eV/atom. The calculated volume is 23.1 Å³ per atom. For the density, the calculation gives 8332 kg/m³.

Cell: 6.2573 6.2573 6.2573 Å, 136.34 136.34 63.45°
Sites, in units of the cell vectors:
Au 0.7500 0.2500 0.5000
Au 0.2500 0.7500 0.5000
Ge 0.3712 0.3712 0.0000
Ge 0.6288 0.6288 0.0000
K 0.0000 0.0000 0.0000


2.
Compound: KLuO3
Source: OQMD via LeMat-Bulk
Functional: PBE
Structure: relaxed

Computed properties:
The calculation puts the total moment at 2.00 μB/f.u. Its space group is R-3c, No. 167. For the raw total energy, the calculation gives -5.476 eV/atom. The calculated volume is 16.4 Å³ per atom. For the density, the calculation gives 5302 kg/m³.

Cell: 5.8645 5.8645 5.8645 Å, 67.05 67.05 67.05°
Sites, in units of the cell vectors:
K 0.0000 0.0000 0.0000
K 0.5000 0.5000 0.5000
Lu 0.2500 0.2500 0.2500
Lu 0.7500 0.7500 0.7500
O 0.7500 0.4324 0.0676
O 0.5676 0.9324 0.2500
O 0.0676 0.7500 0.4324
O 0.9324 0.2500 0.5676
O 0.4324 0.0676 0.7500
O 0.2500 0.5676 0.9324


3.
Compound: PaCd
Source: OQMD via LeMat-Bulk
Functional: PBE
Structure: relaxed

Computed properties:
The calculation puts the total moment at 1.50 μB/f.u. Its space group is P6_3/mmc, No. 194. As for the formation energy: 1.58 eV/f.u. The calculated volume is 29.6 Å³ per atom. For the density, the calculation gives 9649 kg/m³.

Cell: 4.8075 4.8075 5.9059 Å, 90.00 90.00 120.00°
Each line ends with the local moment (μB).
Sites, in units of the cell vectors:
Cd 0.3333 0.6667 0.2500  0.01
Cd 0.6667 0.3333 0.7500  0.01
Pa 0.0000 0.0000 0.0000  1.29
Pa 0.0000 0.0000 0.5000  1.32


4.
Compound: Na2Pd2Se3
Source: OQMD via LeMat-Bulk
Functional: PBE
Structure: relaxed

Computed properties:
Its space group is R-3m, No. 166. For the raw total energy, the calculation gives -3.497 eV/atom. The calculated volume is 23.3 Å³ per atom. For the density, the calculation gives 5056 kg/m³.

Cell: 5.9706 5.9706 5.9706 Å, 63.70 63.70 63.70°
Sites, in units of the cell vectors:
Na 0.0000 0.0000 0.0000
Na 0.5000 0.5000 0.5000
Pd 0.2866 0.2866 0.2866
Pd 0.7134 0.7134 0.7134
Se 0.5000 0.0000 0.0000
Se 0.0000 0.5000 0.0000
Se 0.0000 0.0000 0.5000


5.
Compound: TePd
Source: OQMD via LeMat-Bulk
Functional: PBE
Structure: relaxed

Computed properties:
Its space group is F-43m, No. 216. For the raw total energy, the calculation gives -4.328 eV/atom. The calculated volume is 27.2 Å³ per atom. For the density, the calculation gives 7131 kg/m³.

Cell: 4.2556 4.2556 4.2556 Å, 60.00 60.00 60.00°
Sites, in units of the cell vectors:
Pd 0.0000 0.0000 0.0000
Te 0.2500 0.2500 0.2500


6.
Compound: CsAcPa
Source: OQMD via LeMat-Bulk
Functional: PBE
Structure: relaxed

Computed properties:
The calculation puts the total moment at 4.55 μB/f.u. Its space group is F-43m, No. 216. For the raw total energy, the calculation gives -3.065 eV/atom. The calculated volume is 54.1 Å³ per atom. For the density, the calculation gives 6051 kg/m³.

Cell: 6.1210 6.1210 6.1210 Å, 60.00 60.00 60.00°
Sites, in units of the cell vectors:
Ac 0.2500 0.2500 0.2500
Cs 0.7500 0.7500 0.7500
Pa 0.0000 0.0000 0.0000


7.
Compound: DySnAuSe3
Source: OQMD via LeMat-Bulk
Functional: PBE
Structure: relaxed

Computed properties:
The calculation puts the total moment at 0.00 μB/f.u. Its space group is Pnma, No. 62. For the raw total energy, the calculation gives -4.650 eV/atom. The calculated volume is 27.2 Å³ per atom. For the density, the calculation gives 7266 kg/m³.

Cell: 10.0813 4.1983 15.4444 Å, 90.00 90.00 90.00°
Sites, in units of the cell vectors:
Au 0.7396 0.7500 0.1715
Au 0.2396 0.7500 0.3285
Au 0.7604 0.2500 0.6715
Au 0.2604 0.2500 0.8285
Dy 0.1780 0.7500 0.0213
Dy 0.6780 0.7500 0.4787
Dy 0.3220 0.2500 0.5213
Dy 0.8220 0.2500 0.9787
Se 0.6479 0.7500 0.0233
Se 0.0241 0.2500 0.1065
Se 0.3431 0.7500 0.1844
Se 0.8431 0.7500 0.3156
Se 0.5241 0.2500 0.3935
Se 0.1479 0.7500 0.4767
Se 0.8521 0.2500 0.5233
Se 0.4759 0.7500 0.6065
Se 0.1569 0.2500 0.6844
Se 0.6569 0.2500 0.8156
Se 0.9759 0.7500 0.8935
Se 0.3521 0.2500 0.9767
Sn 0.5320 0.2500 0.2101
Sn 0.0320 0.2500 0.2899
Sn 0.9680 0.7500 0.7101
Sn 0.4680 0.7500 0.7899


8.
Compound: Nd3Cu2Ni7
Source: OQMD via LeMat-Bulk
Functional: PBE
Structure: relaxed

Computed properties:
The calculation puts the total moment at 0.00 μB/f.u. Its space group is R-3m, No. 166. As for the formation energy: -3.69 eV/f.u. The calculated volume is 15.4 Å³ per atom. For the density, the calculation gives 8722 kg/m³.

Cell: 8.7405 8.7405 8.7405 Å, 33.87 33.87 33.87°
Sites, in units of the cell vectors:
Cu 0.3332 0.3332 0.3332
Cu 0.6668 0.6668 0.6668
Nd 0.0000 0.0000 0.0000
Nd 0.1390 0.1390 0.1390
Nd 0.8610 0.8610 0.8610
Ni 0.5817 0.5817 0.0825
Ni 0.9175 0.4183 0.4183
Ni 0.4183 0.9175 0.4183
Ni 0.5000 0.5000 0.5000
Ni 0.5817 0.0825 0.5817
Ni 0.0825 0.5817 0.5817
Ni 0.4183 0.4183 0.9175


Q: What is the formula in the second record?
A: KLuO3


Q: Which value of calculated volume does entry 3 give?
A: 29.6 Å³ per atom


Q: Among the records above, which one has the lowest calculated volume?
A: Nd3Cu2Ni7


Q: Which value of density does entry 3 give?
A: 9649 kg/m³